# 1
Here is LaIrOs2 after structural relaxation from Alexandria via LeMat-Bulk. Energies are from PBE-GGA.

Cell lengths 4.460, 4.460, 18.353 Å; angles 90.00, 90.00, 90.00 degrees
Space group I-42d (No. 122)
Inequivalent atoms, fractional coordinates:
1 La 0.000 0.000 0.000 [4 per cell]
2 Ir 0.000 0.000 0.500 [4 per cell]
3 Os 0.101 0.250 0.625 [8 per cell]

Calculated values
Polymorph energy (0 for the lowest one) = 241 meV/atom

***

# 2
Here is AgBr3 after structural relaxation from Alexandria via LeMat-Bulk. Energies are from PBE-GGA.

Cell lengths 8.256, 16.826, 3.891 Å; angles 90.00, 90.00, 90.00 degrees
Space group Cmcm (No. 63)
Inequivalent atoms, fractional coordinates:
1 Ag 0.000 0.131 0.250 [4 per cell]
2 Br 0.000 0.370 0.750 [4 per cell]
3 Br 0.208 0.128 0.750 [8 per cell]

Calculated values
Energy = -1.9928 eV per atom

***

# 3
Here is KSnTe2 after structural relaxation from Alexandria via LeMat-Bulk. Energies are from PBE-GGA.

Cell lengths 7.756, 7.756, 13.278 Å; angles 90.00, 90.00, 90.00 degrees
Space group I-42d (No. 122)
Inequivalent atoms, fractional coordinates:
1 K 0.000 0.000 0.000 [4 per cell]
2 Sn 0.000 0.000 0.500 [4 per cell]
3 Te 0.182 0.250 0.625 [8 per cell]

Calculated values
Energy = -3.3227 eV per atom

***

# 4
Here is Ba6InRhAu2 after structural relaxation from Alexandria via LeMat-Bulk. Energies are from PBE-GGA.

Cell lengths 8.226, 8.231, 8.865 Å; angles 62.38, 62.39, 60.06 degrees
Space group P1 (No. 1)
Inequivalent atoms, fractional coordinates:
1 Ba 0.000 0.000 0.000 [1 per cell]
2 Ba 0.095 0.812 0.535 [1 per cell]
3 Ba 0.241 0.362 0.000 [1 per cell]
4 Ba 0.450 0.161 0.534 [1 per cell]
5 Ba 0.638 0.603 0.000 [1 per cell]
6 Ba 0.799 0.457 0.535 [1 per cell]
7 In 0.550 0.912 0.229 [1 per cell]
8 Rh 0.045 0.407 0.744 [1 per cell]
9 Au 0.200 0.563 0.277 [1 per cell]
10 Au 0.681 0.044 0.833 [1 per cell]

Calculated values
Energy = -3.2033 eV per atom

***

# 5
Here is Cu2AsBr5 after structural relaxation from Alexandria via LeMat-Bulk. Energies are from PBE-GGA.

Cell lengths 6.479, 6.862, 7.346 Å; angles 101.22, 113.67, 107.37 degrees
Space group P1 (No. 1)
Inequivalent atoms, fractional coordinates:
1 Cu 0.000 0.000 0.000 [1 per cell]
2 Cu 0.463 0.412 0.910 [1 per cell]
3 As 0.727 0.071 0.467 [1 per cell]
4 Br 0.125 0.347 0.558 [1 per cell]
5 Br 0.408 0.268 0.169 [1 per cell]
6 Br 0.693 0.813 0.073 [1 per cell]
7 Br 0.730 0.274 0.802 [1 per cell]
8 Br 0.870 0.819 0.620 [1 per cell]

Calculated values
Energy = -2.9462 eV per atom

***

# 6
Here is CoNi2Os after structural relaxation from Alexandria via LeMat-Bulk. Energies are from PBE-GGA.

Cell lengths 3.956, 2.526, 9.527 Å; angles 90.00, 90.00, 90.00 degrees
Space group Amm2 (No. 38)
Inequivalent atoms, fractional coordinates:
1 Co 0.000 0.000 0.000 [2 per cell]
2 Ni 0.000 0.000 0.745 [2 per cell]
3 Ni 0.500 0.000 0.608 [2 per cell]
4 Os 0.500 0.000 0.352 [2 per cell]

Calculated values
Polymorph energy (0 for the lowest one) = 61 meV/atom

***

# 7
Here is Ca2CdGeO5 after structural relaxation from Alexandria via LeMat-Bulk. Energies are from PBE-GGA.

Cell lengths 3.363, 13.174, 10.810 Å; angles 90.00, 90.00, 90.00 degrees
Space group Cmc2_1 (No. 36)
Inequivalent atoms, fractional coordinates:
1 Ca 0.000 0.092 0.000 [4 per cell]
2 Ca 0.000 0.168 0.649 [4 per cell]
3 Cd 0.000 0.214 0.374 [4 per cell]
4 Ge 0.000 0.473 0.766 [4 per cell]
5 O 0.000 0.038 0.348 [4 per cell]
6 O 0.000 0.266 0.020 [4 per cell]
7 O 0.000 0.333 0.735 [4 per cell]
8 O 0.000 0.387 0.324 [4 per cell]
9 O 0.000 0.490 0.106 [4 per cell]

Calculated values
Energy = -5.8944 eV per atom

***

# 8
Here is VCr2Au after structural relaxation from Alexandria via LeMat-Bulk. Energies are from PBE-GGA.

Cell lengths 6.161, 6.161, 6.161 Å; angles 90.00, 90.00, 90.00 degrees
Space group Fm-3m (No. 225)
Inequivalent atoms, fractional coordinates:
1 V 0.000 0.000 0.000 [4 per cell]
2 Cr 0.250 0.250 0.250 [8 per cell]
3 Au 0.000 0.000 0.500 [4 per cell]

Calculated values
Energy = -7.6446 eV per atom

***

# 9
Here is InSbAu3 after structural relaxation from Alexandria via LeMat-Bulk. Energies are from PBE-GGA.

Cell lengths 4.350, 7.256, 8.088 Å; angles 90.00, 105.40, 90.00 degrees
Space group P2_1/m (No. 11)
Inequivalent atoms, fractional coordinates:
1 In 0.237 0.250 0.476 [2 per cell]
2 Sb 0.448 0.250 0.890 [2 per cell]
3 Au 0.049 0.250 0.093 [2 per cell]
4 Au 0.348 0.560 0.697 [4 per cell]

Calculated values
Polymorph energy (0 for the lowest one) = 0 meV/atom

***

# 10
Here is SrGaI after structural relaxation from Alexandria via LeMat-Bulk. Energies are from PBE-GGA.

Cell lengths 4.156, 4.156, 6.531 Å; angles 90.00, 90.00, 90.00 degrees
Space group P4mm (No. 99)
Inequivalent atoms, fractional coordinates:
1 Sr 0.000 0.000 0.000 [1 per cell]
2 Ga 0.500 0.500 0.750 [1 per cell]
3 I 0.500 0.500 0.288 [1 per cell]

Calculated values
Energy = -2.6841 eV per atom

***

# 11
Here is Ac3Nd12Al after structural relaxation from Alexandria via LeMat-Bulk. Energies are from PBE-GGA.

Cell lengths 5.191, 5.191, 20.970 Å; angles 90.00, 90.00, 90.00 degrees
Space group P4/mmm (No. 123)
Inequivalent atoms, fractional coordinates:
1 Ac 0.000 0.000 0.000 [1 per cell]
2 Ac 0.000 0.000 0.258 [2 per cell]
3 Nd 0.000 0.500 0.129 [4 per cell]
4 Nd 0.000 0.500 0.388 [4 per cell]
5 Nd 0.500 0.500 0.000 [1 per cell]
6 Nd 0.500 0.500 0.261 [2 per cell]
7 Nd 0.500 0.500 0.500 [1 per cell]
8 Al 0.000 0.000 0.500 [1 per cell]

Calculated values
Energy = -4.5799 eV per atom

***

# 12
Here is RbTlHgSb after structural relaxation from Alexandria via LeMat-Bulk. Energies are from PBE-GGA.

Cell lengths 9.679, 5.560, 6.049 Å; angles 90.00, 90.27, 90.00 degrees
Space group Cm (No. 8)
Inequivalent atoms, fractional coordinates:
1 Rb 0.000 0.000 0.000 [2 per cell]
2 Tl 0.335 0.000 0.472 [2 per cell]
3 Hg 0.167 0.500 0.765 [2 per cell]
4 Sb 0.168 0.500 0.271 [2 per cell]

Calculated values
Polymorph energy (0 for the lowest one) = 0 meV/atom